VASP calculation (PBE) on crystalline AgBiS2Cl at its relaxed geometry.

```
AgBiS2Cl
1.0
4.949 0.000 0.000
0.000 4.949 0.000
0.000 0.000 4.735
Ag Cl S Bi
1 1 2 1
Direct
0.000 0.000 0.000
0.000 0.000 0.500
0.000 0.500 0.000
0.500 0.000 0.000
0.500 0.500 0.500
```

Values from the calculation:
- total moment (Bohr magnetons per cell) = 0.00
- D(E_F) (states/eV/cell) = 2.0
- calculated total energy (eV/atom) = -3.136